A plane-wave DFT calculation with PBE was carried out for an optimized crystal structure of AcLa5ErTm2.

Unit cell a=12.5816 b=12.5816 c=9.5964 alpha=90.00 beta=90.00 gamma=154.23
Fractional positions:
Ac 0.1036 0.8964 0.5000
Ac 0.8964 0.1036 0.0000
La 0.0253 0.9747 0.8328
La 0.1088 0.8912 0.1076
La 0.1875 0.8125 0.8014
La 0.2404 0.7596 0.4257
La 0.4906 0.5094 0.6201
La 0.5094 0.4906 0.1201
La 0.7596 0.2404 0.9257
La 0.8125 0.1875 0.3014
La 0.8912 0.1088 0.6076
La 0.9747 0.0253 0.3328
Er 0.2733 0.7267 0.1039
Er 0.7267 0.2733 0.6039
Tm 0.3246 0.6754 0.7457
Tm 0.3884 0.6116 0.3673
Tm 0.6116 0.3884 0.8673
Tm 0.6754 0.3246 0.2457


A plane-wave DFT calculation with PBE was carried out for an optimized crystal structure of AcLa2Er4Tm.

Unit cell a=9.6388 b=9.6388 c=9.6388 alpha=138.02 beta=103.21 gamma=91.61
Fractional positions:
Ac 0.0000 0.0000 0.0000
Ac 0.5000 0.0000 0.5000
La 0.0000 0.5000 0.5000
La 0.5000 0.0000 0.0000
La 0.5000 0.5000 0.0000
La 0.5000 0.5000 0.5000
Er 0.2315 0.7411 0.4905
Er 0.2419 0.2531 0.5112
Er 0.2419 0.7308 0.9888
Er 0.2494 0.2589 0.9905
Er 0.7506 0.7411 0.0095
Er 0.7581 0.2692 0.0112
Er 0.7581 0.7469 0.4888
Er 0.7685 0.2589 0.5095
Tm 0.0000 0.0000 0.5000
Tm 0.0000 0.5000 0.0000


A plane-wave DFT calculation with PBE was carried out for an optimized crystal structure of AcLa4Er2Tm.

Unit cell a=6.3452 b=6.3452 c=10.5022 alpha=114.48 beta=114.48 gamma=48.80
Fractional positions:
Ac 0.0000 0.0000 0.0000
La 0.2462 0.2462 0.8689
La 0.2518 0.2518 0.3774
La 0.7482 0.7482 0.6226
La 0.7538 0.7538 0.1311
Er 0.4996 0.4996 0.2566
Er 0.5004 0.5004 0.7434
Tm 0.0000 0.0000 0.5000


A plane-wave DFT calculation with PBE was carried out for an optimized crystal structure of AcLa5YEr2.

Unit cell a=12.5160 b=12.5160 c=9.6548 alpha=90.00 beta=90.00 gamma=153.90
Fractional positions:
Ac 0.1040 0.8960 0.5000
Ac 0.8960 0.1040 0.0000
La 0.0258 0.9742 0.8322
La 0.1081 0.8919 0.1104
La 0.1857 0.8143 0.8066
La 0.2401 0.7599 0.4206
La 0.4927 0.5073 0.6183
La 0.5073 0.4927 0.1183
La 0.7599 0.2401 0.9206
La 0.8143 0.1857 0.3066
La 0.8919 0.1081 0.6104
La 0.9742 0.0258 0.3322
Y 0.2778 0.7222 0.1027
Y 0.7222 0.2778 0.6027
Er 0.3255 0.6745 0.7434
Er 0.3886 0.6114 0.3736
Er 0.6114 0.3886 0.8736
Er 0.6745 0.3255 0.2434


A plane-wave DFT calculation with PBE was carried out for an optimized crystal structure of AcLa2Y6Er3.

Unit cell a=6.2881 b=6.2881 c=11.9263 alpha=95.05 beta=95.05 gamma=120.00
Fractional positions:
Ac 0.0000 0.0000 0.0000
La 0.3334 0.6666 0.0000
La 0.6666 0.3334 0.0000
Y 0.0867 0.4213 0.2578
Y 0.2480 0.2480 0.7421
Y 0.4213 0.0867 0.2578
Y 0.5787 0.9133 0.7422
Y 0.7520 0.7520 0.2579
Y 0.9133 0.5787 0.7422
Er 0.1666 0.8334 0.5000
Er 0.5000 0.5000 0.5000
Er 0.8334 0.1666 0.5000


A plane-wave DFT calculation with PBE was carried out for an optimized crystal structure of AcLaYEr.

Unit cell a=5.8975 b=5.8975 c=5.8975 alpha=60.00 beta=60.00 gamma=60.00
Fractional positions:
Ac 0.0000 0.0000 0.0000
La 0.5000 0.5000 0.5000
Y 0.2500 0.2500 0.2500
Er 0.7500 0.7500 0.7500


| no. | ΔH_f (0 K) (eV/atom) | magnetization (μB per formula unit) | DOS(E_F) (states/eV/atom) |
| --- | --- | --- | --- |
| 1 | 0.148 | 0.0 | 1.43 |
| 2 | 0.419 | 0.0 | 2.31 |
| 3 | 0.039 | 0.0 | 1.71 |
| 4 | 0.146 | 0.0 | 1.45 |
| 5 | 0.034 | 0.0 | 1.48 |
| 6 | 0.085 | 0.0 | 1.68 |